# GGA+U LaWO2, relaxed
# * excess energy over the best structure of this formula in the dataset: 0.00 eV/f.u.
# * uncorrected energy: -7.2084 eV/atom
data_LaWO2
_chemical_formula_sum 'La8 W8 O16'
_cell_length_a 6.4504
_cell_length_b 6.4504
_cell_length_c 12.4316
_cell_angle_alpha 90.00
_cell_angle_beta 90.00
_cell_angle_gamma 90.00
_symmetry_space_group_name_H-M 'I 41/a m d'
_symmetry_Int_Tables_number 141
loop_
_symmetry_equiv_pos_as_xyz
'x,y,z'
'-x,-y,-z'
'-y+1/4,x+3/4,z+1/4'
'y+1/4,-x+3/4,-z+1/4'
'-x+1/2,-y,z+1/2'
'x+1/2,y,-z+1/2'
'y+1/4,-x+1/4,z+3/4'
'-y+1/4,x+1/4,-z+3/4'
'x,-y,-z'
'-x,y,z'
'-y+1/4,-x+1/4,-z+3/4'
'y+1/4,x+1/4,z+3/4'
'-x+1/2,y,-z+1/2'
'x+1/2,-y,z+1/2'
'y+1/4,x+3/4,-z+1/4'
'-y+1/4,-x+3/4,z+1/4'
'x+1/2,y+1/2,z+1/2'
'-x+1/2,-y+1/2,-z+1/2'
'-y+3/4,x+1/4,z+3/4'
'y+3/4,-x+1/4,-z+3/4'
'-x,-y+1/2,z'
'x,y+1/2,-z'
'y+3/4,-x+3/4,z+1/4'
'-y+3/4,x+3/4,-z+1/4'
'x+1/2,-y+1/2,-z+1/2'
'-x+1/2,y+1/2,z+1/2'
'-y+3/4,-x+3/4,-z+1/4'
'y+3/4,x+3/4,z+1/4'
'-x,y+1/2,-z'
'x,-y+1/2,z'
'y+3/4,x+1/4,-z+3/4'
'-y+3/4,-x+1/4,z+3/4'
loop_
_atom_site_label
_atom_site_type_symbol
_atom_site_fract_x
_atom_site_fract_y
_atom_site_fract_z
La1 La 0.0000 0.0000 0.0000
W1 W 0.0000 0.0000 0.5000
O1 O 0.0000 0.0371 0.1985